# 1
## Ga3AuO (PBE-GGA)

Data for an optimized crystal structure of Ga3AuO.

Output
**Energy above the most stable polymorph in this dataset**: 2.59 eV/f.u.
**Uncorrected formation energy**: 28.9 kJ/mol of atoms
**Spin magnetization**: 0.000 μB/atom
**Final energy**: -3.164 eV per atom

a b c (Å): 4.8644 4.8644 4.8644
angles (deg): 90.00 90.00 90.00
With the nearest neighbours (Å) after each atom.
Atoms (fractional coordinates):
Au: 0.0000 0.0000 0.0000  6 Ga 2.43
O: 0.5000 0.5000 0.5000  12 Ga 3.44
Ga: 0.0000 0.5000 0.0000  2 Au 2.43
Ga: 0.0000 0.0000 0.5000  2 Au 2.43
Ga: 0.5000 0.0000 0.0000  2 Au 2.43

***

# 2
## Ga3AuO (PBE-GGA)

Data for an optimized crystal structure of Ga3AuO.

Output
**Energy above the most stable polymorph in this dataset**: 0.00 eV/f.u.
**Uncorrected formation energy**: -21.1 kJ/mol of atoms
**Spin magnetization**: 0.000 μB/atom
**Final energy**: -3.682 eV per atom

a b c (Å): 4.4196 4.4196 4.4196
angles (deg): 90.00 90.00 90.00
With the nearest neighbours (Å) after each atom.
Atoms (fractional coordinates):
Au: 0.5000 0.5000 0.5000  12 Ga 3.13
O: 0.0000 0.0000 0.0000  6 Ga 2.21
Ga: 0.0000 0.5000 0.0000  2 O 2.21
Ga: 0.0000 0.0000 0.5000  2 O 2.21
Ga: 0.5000 0.0000 0.0000  2 O 2.21

***

# 3
## GaAuO2 (PBE-GGA)

Data for an optimized crystal structure of GaAuO2.

Output
**Uncorrected formation energy**: -111.4 kJ/mol of atoms
**Spin magnetization**: 0.000 μB/atom
**Final energy**: -5.210 eV per atom

a b c (Å): 3.0501 3.0501 12.4864
angles (deg): 90.00 90.00 120.00
With the nearest neighbours (Å) after each atom.
Atoms (fractional coordinates):
Au: 0.6667 0.3333 0.7500  2 O 2.12
Au: 0.3333 0.6667 0.2500  2 O 2.12
O: 0.3333 0.6667 0.4200  3 Ga 2.02, 1 Au 2.12
O: 0.6667 0.3333 0.9200  3 Ga 2.02, 1 Au 2.12
O: 0.3333 0.6667 0.0800  3 Ga 2.02, 1 Au 2.12
O: 0.6667 0.3333 0.5800  3 Ga 2.02, 1 Au 2.12
Ga: 0.0000 0.0000 0.0000  6 O 2.02
Ga: 0.0000 0.0000 0.5000  6 O 2.02

***

# 4
## GaAuO2 (PBE-GGA)

Data for an optimized crystal structure of GaAuO2.

Output
**Uncorrected formation energy**: -83.2 kJ/mol of atoms
**Spin magnetization**: 0.000 μB/atom
**Final energy**: -4.917 eV per atom

a b c (Å): 5.1573 5.1573 5.6441
angles (deg): 62.81 62.81 90.00
With the nearest neighbours (Å) after each atom.
Atoms (fractional coordinates):
Au: 0.0000 0.0000 0.0000  4 O 2.43
Au: 0.7500 0.2500 0.5000  4 O 2.43
O: 0.5341 0.1250 0.2500  2 Ga 1.87
O: 0.2159 0.6250 0.2500  2 Ga 1.87
O: 0.3750 0.4659 0.7500  2 Ga 1.87
O: 0.8750 0.7841 0.7500  2 Ga 1.87
Ga: 0.5000 0.5000 0.0000  4 O 1.87
Ga: 0.2500 0.7500 0.5000  4 O 1.87

***

# 5
## GaAu3O (PBE-GGA)

Data for an optimized crystal structure of GaAu3O.

Output
**Energy above the most stable polymorph in this dataset**: 0.00 eV/f.u.
**Uncorrected formation energy**: 28.4 kJ/mol of atoms
**Spin magnetization**: 0.000 μB/atom
**Final energy**: -3.269 eV per atom

a b c (Å): 4.5507 4.5507 4.5507
angles (deg): 90.00 90.00 90.00
With the nearest neighbours (Å) after each atom.
Atoms (fractional coordinates):
Au: 0.0000 0.5000 0.0000  2 O 2.28
Au: 0.0000 0.0000 0.5000  2 O 2.28
Au: 0.5000 0.0000 0.0000  2 O 2.28
O: 0.0000 0.0000 0.0000  6 Au 2.28
Ga: 0.5000 0.5000 0.5000  12 Au 3.22

***

# 6
## GaP2AuO (PBE-GGA)

Data for an optimized crystal structure of GaP2AuO.

Output
**Energy above the most stable polymorph in this dataset**: 0.00 eV/f.u.
**Uncorrected formation energy**: 39.0 kJ/mol of atoms
**Spin magnetization**: 0.000 μB/atom
**Final energy**: -4.012 eV per atom

a b c (Å): 4.9516 4.9516 3.5093
angles (deg): 90.00 90.00 90.00
With the nearest neighbours (Å) after each atom.
Atoms (fractional coordinates):
P: 0.0000 0.5000 0.0000  2 Ga 2.48
P: 0.5000 0.0000 0.0000  2 Ga 2.48
Au: 0.5000 0.5000 0.5000  8 P 3.03
O: 0.0000 0.0000 0.5000  2 Ga 1.75
Ga: 0.0000 0.0000 0.0000  2 O 1.75

***

# 7
## GaP2AuO (PBE-GGA)

Data for an optimized crystal structure of GaP2AuO.

Output
**Energy above the most stable polymorph in this dataset**: 1.85 eV/f.u.
**Uncorrected formation energy**: 74.7 kJ/mol of atoms
**Spin magnetization**: 0.033 μB/atom
**Final energy**: -3.642 eV per atom

a b c (Å): 4.9369 4.9369 3.9423
angles (deg): 90.00 90.00 90.00
With the nearest neighbours (Å) after each atom.
Atoms (fractional coordinates):
P: 0.0000 0.5000 0.0000  2 Au 2.47
P: 0.5000 0.0000 0.0000  2 Au 2.47
Au: 0.0000 0.0000 0.0000  2 O 1.97
O: 0.0000 0.0000 0.5000  2 Au 1.97
Ga: 0.5000 0.5000 0.5000  8 P 3.16, 4 O 3.49

***

# 8
## GaPAuO2 (PBE-GGA)

Data for an optimized crystal structure of GaPAuO2.

Output
**Energy above the most stable polymorph in this dataset**: 2.93 eV/f.u.
**Uncorrected formation energy**: 42.9 kJ/mol of atoms
**Spin magnetization**: 0.080 μB/atom
**Final energy**: -3.881 eV per atom

a b c (Å): 3.9916 3.9916 5.0740
angles (deg): 90.00 90.00 90.00
With the nearest neighbours (Å) after each atom.
Atoms (fractional coordinates):
P: 0.0000 0.0000 0.5000  2 Au 2.54, 4 Ga 2.82
Au: 0.0000 0.0000 0.0000  4 O 2.00
O: 0.0000 0.5000 0.0000  2 Au 2.00
O: 0.5000 0.0000 0.0000  2 Au 2.00
Ga: 0.5000 0.5000 0.5000  4 P 2.82

***

# 9
## GaPAuO2 (PBE-GGA)

Data for an optimized crystal structure of GaPAuO2.

Output
**Energy above the most stable polymorph in this dataset**: 0.00 eV/f.u.
**Uncorrected formation energy**: -13.7 kJ/mol of atoms
**Spin magnetization**: 0.367 μB/atom
**Final energy**: -4.468 eV per atom

a b c (Å): 3.6611 3.6611 6.3056
angles (deg): 90.00 90.00 90.00
With the nearest neighbours (Å) after each atom.
Atoms (fractional coordinates):
P: 0.0000 0.0000 0.5000  4 Au 2.59
Au: 0.5000 0.5000 0.5000  4 P 2.59
O: 0.0000 0.5000 0.0000  2 Ga 1.83
O: 0.5000 0.0000 0.0000  2 Ga 1.83
Ga: 0.0000 0.0000 0.0000  4 O 1.83

***

# 10
## PaGaAu2O8 (PBE-GGA)

Data for an optimized crystal structure of PaGaAu2O8.

Output
**Uncorrected formation energy**: -94.2 kJ/mol of atoms
**Spin magnetization**: 0.000 μB/atom
**Final energy**: -5.872 eV per atom

a b c (Å): 5.9854 5.9854 5.9854
angles (deg): 109.76 109.76 108.89
With the nearest neighbours (Å) after each atom.
Atoms (fractional coordinates):
Pa: 0.2500 0.7500 0.5000  8 O 2.24-2.31
Ga: 0.0000 0.0000 0.0000  8 O 2.14-2.17
Au: 0.7500 0.2500 0.5000  4 O 2.05
Au: 0.5000 0.5000 0.0000  4 O 2.05
O: 0.3332 0.0235 0.3097  1 Au 2.05, 1 Ga 2.14, 1 O 2.18
O: 0.2603 0.4345 0.1742  1 Au 2.05, 1 Ga 2.17, 1 O 2.18, 1 Pa 2.24
O: 0.2603 0.0862 0.8258  1 Au 2.05, 1 Ga 2.17, 1 O 2.18, 1 Pa 2.24
O: 0.7138 0.0235 0.6903  1 Au 2.05, 1 Ga 2.14, 1 O 2.18
O: 0.9138 0.7397 0.1742  1 Au 2.05, 1 Ga 2.17, 1 O 2.18, 1 Pa 2.24
O: 0.9765 0.2862 0.3097  1 Au 2.05, 1 Ga 2.14, 1 O 2.18
O: 0.9765 0.6668 0.6903  1 Au 2.05, 1 Ga 2.14, 1 O 2.18
O: 0.5655 0.7397 0.8258  1 Au 2.05, 1 Ga 2.17, 1 O 2.18, 1 Pa 2.24

***

# 11
## GaPbAu2O6 (PBE-GGA)

Data for an optimized crystal structure of GaPbAu2O6.

Output
**Uncorrected formation energy**: -59.2 kJ/mol of atoms
**Spin magnetization**: 0.000 μB/atom
**Final energy**: -4.918 eV per atom

a b c (Å): 7.3156 6.9385 6.9385
angles (deg): 68.37 72.71 72.71
With the nearest neighbours (Å) after each atom.
Atoms (fractional coordinates):
Ga: 0.2500 0.1734 0.8266  4 O 1.87-1.89
Ga: 0.7500 0.8266 0.1734  4 O 1.87-1.89
Pb: 0.2500 0.7595 0.2405  6 O 2.27-2.32
Pb: 0.7500 0.2405 0.7595  6 O 2.27-2.32
Au: 0.4201 0.7374 0.6495  4 O 2.04-2.12
Au: 0.0799 0.3505 0.2626  4 O 2.04-2.12
Au: 0.5799 0.2626 0.3505  4 O 2.04-2.12
Au: 0.9201 0.6495 0.7374  4 O 2.04-2.12
O: 0.2846 0.8776 0.8833  1 Ga 1.89, 1 Au 2.05
O: 0.2154 0.1167 0.1224  1 Ga 1.89, 1 Au 2.05
O: 0.7154 0.1224 0.1167  1 Ga 1.89, 1 Au 2.05
O: 0.7846 0.8833 0.8776  1 Ga 1.89, 1 Au 2.05
O: 0.5408 0.6976 0.3452  1 Ga 1.87
O: 0.9592 0.6548 0.3024  1 Ga 1.87
O: 0.4592 0.3024 0.6548  1 Ga 1.87
O: 0.0408 0.3452 0.6976  1 Ga 1.87
O: 0.1570 0.7970 0.5719  2 Au 2.04-2.09
O: 0.3430 0.4281 0.2030  2 Au 2.04-2.09
O: 0.8430 0.2030 0.4281  2 Au 2.04-2.09
O: 0.6570 0.5719 0.7970  2 Au 2.04-2.09

***

# 12
## Pm4GaAuO (PBE-GGA)

Data for an optimized crystal structure of Pm4GaAuO.

Output
**Uncorrected formation energy**: -113.6 kJ/mol of atoms
**Spin magnetization**: 0.000 μB/atom
**Final energy**: -5.501 eV per atom

a b c (Å): 6.8462 6.8476 8.2863
angles (deg): 90.00 114.40 90.00
With the nearest neighbours (Å) after each atom.
Atoms (fractional coordinates):
Pm: 0.9329 0.2500 0.8658  1 O 2.82, 1 Au 2.83
Pm: 0.4294 0.7500 0.8588  1 O 2.65, 1 Ga 2.95
Pm: 0.0671 0.7500 0.1342  1 O 2.82, 1 Au 2.83
Pm: 0.5706 0.2500 0.1412  1 O 2.65, 1 Ga 2.95
Pm: 0.5000 0.5000 0.5000  2 O 2.42
Pm: 0.0000 0.0000 0.5000  2 O 2.42
Pm: 0.5000 0.0000 0.5000  2 O 2.42
Pm: 0.0000 0.5000 0.5000  2 O 2.42
Ga: 0.6246 0.7500 0.2491  5 Pm 2.95-3.07
Ga: 0.3754 0.2500 0.7509  5 Pm 2.95-3.07
Au: 0.1204 0.2500 0.2409  5 Pm 2.83-3.11
Au: 0.8796 0.7500 0.7591  5 Pm 2.83-3.11
O: 0.2539 0.7500 0.5079  5 Pm 2.42-2.65
O: 0.7461 0.2500 0.4921  5 Pm 2.42-2.65